Ir2C3 after structural relaxation, computed with PBE.

abc: 3.1485 3.1485 24.6633
angles: 90.00 90.00 120.00
Last column: nearest neighbours and their distance in Å.
Space group R-3m (No. 166, hexagonal axes)
One atom of each set of equivalent atoms:
Ir: 0.0000 0.0000 0.1048  3 C 1.94
C: 0.0000 0.0000 0.2561  3 Ir 1.94
C: 0.0000 0.0000 0.5000  6 Ir 2.37

Calculated values
Energy above the most stable polymorph in this dataset ... 494 meV/atom

Ir4C5 after structural relaxation, computed with PBE.

abc: 5.9945 5.9945 6.0746
angles: 90.00 90.00 120.00
Last column: nearest neighbours and their distance in Å.
Space group P6_3/mcm (No. 193)
One atom of each set of equivalent atoms:
Ir: 0.0000 0.0000 0.0000  6 C 2.12
Ir: 0.0000 0.4276 0.2500  1 C 1.95
C: 0.0000 0.2473 0.7500  3 Ir 1.95-2.12
C: 0.3333 0.6667 0.0000  6 Ir 2.34

Calculated values
Energy above the most stable polymorph in this dataset ... 20 meV/atom

Ir3C4 after structural relaxation, computed with PBE.

abc: 4.2896 4.2896 4.2896
angles: 90.00 90.00 90.00
Last column: nearest neighbours and their distance in Å.
Space group Pm-3m (No. 221)
One atom of each set of equivalent atoms:
Ir: 0.0000 0.0000 0.5000  6 C 2.14
C: 0.0000 0.0000 0.0000  6 Ir 2.14
C: 0.0000 0.5000 0.5000  4 Ir 2.14

Calculated values
Energy above the most stable polymorph in this dataset ... 580 meV/atom

| no. | energy (hartree per atom) | energy relative to the elements (eV per atom) | magnetic moment (μB per cell) |
| --- | --- | --- | --- |
| 1 | -0.281 | 1.44 | 0.00 |
| 2 | -0.274 | 1.61 | 0.00 |
| 3 | -0.273 | 1.63 | 0.00 |